[1]
Material: ReAsIr2
Method: DFT, PBE
State: relaxed

```
data_ReAsIr2
_symmetry_space_group_name_H-M 'P 1'
_symmetry_Int_Tables_number 1
_cell_length_a 2.844
_cell_length_b 3.853
_cell_length_c 5.514
_cell_angle_alpha 90.00
_cell_angle_beta 90.00
_cell_angle_gamma 90.00
loop_
_symmetry_equiv_pos_as_xyz
'x,y,z'
loop_
_atom_site_label
_atom_site_fract_x
_atom_site_fract_y
_atom_site_fract_z
Re1 0.500 0.500 0.250
Ir1 0.000 0.000 0.011
Ir2 0.000 0.000 0.489
As1 0.500 0.500 0.750
```

Results
The calculation puts the mass density at 17.7 g/cm³. The spin magnetization comes out at 0.00 μB per cell. The symmetry is Pmmm (47). The calculation puts the total energy at -8.5390 eV/atom.

---

[2]
Material: NaAcS3
Method: DFT, PBE
State: relaxed

```
data_NaAcS3
_symmetry_space_group_name_H-M 'P 1'
_symmetry_Int_Tables_number 1
_cell_length_a 5.863
_cell_length_b 5.981
_cell_length_c 14.960
_cell_angle_alpha 90.00
_cell_angle_beta 90.00
_cell_angle_gamma 90.00
loop_
_symmetry_equiv_pos_as_xyz
'x,y,z'
loop_
_atom_site_label
_atom_site_fract_x
_atom_site_fract_y
_atom_site_fract_z
S1 0.250 0.784 0.033
Na1 0.250 0.422 0.147
Na2 0.250 0.922 0.353
Na3 0.750 0.078 0.647
S2 0.250 0.284 0.467
Ac1 0.250 0.094 0.866
S3 0.750 0.416 0.168
S4 0.250 0.084 0.668
S5 0.750 0.539 0.657
Ac2 0.250 0.594 0.634
Ac3 0.750 0.906 0.134
S6 0.750 0.716 0.533
S7 0.250 0.961 0.157
S8 0.750 0.216 0.967
S9 0.750 0.039 0.843
S10 0.750 0.916 0.332
S11 0.250 0.461 0.343
Na4 0.750 0.578 0.853
S12 0.250 0.584 0.832
Ac4 0.750 0.406 0.366
```

Results
The calculation puts the mass density at 4.4 g/cm³. The spin magnetization comes out at 0.00 μB per cell. The symmetry is Pnma (62). The calculation puts the total energy at -4.9767 eV/atom.

---

[3]
Material: Pr2SBr4
Method: DFT, PBE
State: relaxed

```
data_Pr2SBr4
_symmetry_space_group_name_H-M 'P 1'
_symmetry_Int_Tables_number 1
_cell_length_a 3.884
_cell_length_b 12.711
_cell_length_c 12.711
_cell_angle_alpha 90.00
_cell_angle_beta 90.00
_cell_angle_gamma 90.00
loop_
_symmetry_equiv_pos_as_xyz
'x,y,z'
loop_
_atom_site_label
_atom_site_fract_x
_atom_site_fract_y
_atom_site_fract_z
Br1 0.500 0.926 0.286
S1 0.500 0.000 0.000
Pr1 0.000 0.882 0.118
Br2 0.500 0.286 0.926
Br3 0.000 0.574 0.786
Pr2 0.000 0.118 0.882
Br4 0.000 0.426 0.214
Pr3 0.500 0.382 0.382
Pr4 0.500 0.618 0.618
Br5 0.000 0.214 0.426
S2 0.000 0.500 0.500
Br6 0.500 0.074 0.714
Br7 0.500 0.714 0.074
Br8 0.000 0.786 0.574
```

Results
The calculation puts the mass density at 3.4 g/cm³. The spin magnetization comes out at 0.00 μB per cell. The symmetry is P4_2/mnm (136). The calculation puts the total energy at -4.7657 eV/atom.

---

[4]
Material: Ca3V3N5
Method: DFT, PBE
State: relaxed

```
data_Ca3V3N5
_symmetry_space_group_name_H-M 'P 1'
_symmetry_Int_Tables_number 1
_cell_length_a 5.717
_cell_length_b 7.338
_cell_length_c 8.269
_cell_angle_alpha 109.79
_cell_angle_beta 105.29
_cell_angle_gamma 99.62
loop_
_symmetry_equiv_pos_as_xyz
'x,y,z'
loop_
_atom_site_label
_atom_site_fract_x
_atom_site_fract_y
_atom_site_fract_z
V1 0.698 0.989 0.601
Ca1 0.677 0.683 0.225
N1 0.753 0.517 0.905
N2 0.247 0.483 0.095
Ca2 0.257 0.574 0.404
N3 0.634 0.062 0.382
V2 0.908 0.135 0.303
N4 0.996 0.902 0.179
N5 0.254 0.280 0.467
Ca3 0.655 0.846 0.890
Ca4 0.323 0.317 0.775
V3 0.092 0.865 0.697
N6 0.786 0.242 0.134
Ca5 0.345 0.154 0.110
N7 0.746 0.720 0.533
V4 0.302 0.011 0.399
V5 0.098 0.684 0.034
N8 0.366 0.938 0.618
N9 0.004 0.098 0.821
N10 0.214 0.758 0.866
V6 0.902 0.316 0.966
Ca6 0.743 0.426 0.596
```

Results
The calculation puts the mass density at 3.8 g/cm³. The spin magnetization comes out at 0.00 μB per cell. The symmetry is P-1 (2). The calculation puts the total energy at -7.8189 eV/atom.

---

[5]
Material: FeCoHg
Method: DFT, PBE
State: relaxed

```
data_FeCoHg
_symmetry_space_group_name_H-M 'P 1'
_symmetry_Int_Tables_number 1
_cell_length_a 2.923
_cell_length_b 2.923
_cell_length_c 6.279
_cell_angle_alpha 90.00
_cell_angle_beta 90.00
_cell_angle_gamma 120.00
loop_
_symmetry_equiv_pos_as_xyz
'x,y,z'
loop_
_atom_site_label
_atom_site_fract_x
_atom_site_fract_y
_atom_site_fract_z
Fe1 0.667 0.333 0.296
Co1 0.000 0.000 0.035
Hg1 0.333 0.667 0.669
```

Results
The value obtained for the relative energy among the computed polymorphs is 120 meV/atom. The calculation puts the mass density at 11.3 g/cm³. The spin magnetization comes out at 4.62 μB per cell. The symmetry is P3m1 (156). The calculation puts the total energy at -4.8885 eV/atom.

---

[6]
Material: ZrP2OsCl
Method: DFT, PBE
State: relaxed

```
data_ZrP2OsCl
_symmetry_space_group_name_H-M 'P 1'
_symmetry_Int_Tables_number 1
_cell_length_a 4.577
_cell_length_b 4.577
_cell_length_c 4.780
_cell_angle_alpha 90.00
_cell_angle_beta 90.00
_cell_angle_gamma 90.00
loop_
_symmetry_equiv_pos_as_xyz
'x,y,z'
loop_
_atom_site_label
_atom_site_fract_x
_atom_site_fract_y
_atom_site_fract_z
Os1 0.000 0.000 0.000
P1 0.000 0.500 0.000
P2 0.500 0.000 0.000
Zr1 0.500 0.500 0.500
Cl1 0.000 0.000 0.500
```

Results
The value obtained for the relative energy among the computed polymorphs is 0 meV/atom. The calculation puts the mass density at 6.3 g/cm³. The spin magnetization comes out at 1.04 μB per cell. The symmetry is P4/mmm (123). The calculation puts the total energy at -6.0045 eV/atom.

---

[7]
Material: AlH3Pt
Method: DFT, PBE
State: relaxed

```
data_AlH3Pt
_symmetry_space_group_name_H-M 'P 1'
_symmetry_Int_Tables_number 1
_cell_length_a 3.647
_cell_length_b 3.647
_cell_length_c 3.647
_cell_angle_alpha 90.00
_cell_angle_beta 90.00
_cell_angle_gamma 90.00
loop_
_symmetry_equiv_pos_as_xyz
'x,y,z'
loop_
_atom_site_label
_atom_site_fract_x
_atom_site_fract_y
_atom_site_fract_z
H1 0.000 0.500 0.000
Al1 0.500 0.500 0.500
Pt1 0.000 0.000 0.000
H2 0.000 0.000 0.500
H3 0.500 0.000 0.000
```

Results
The calculation puts the mass density at 7.7 g/cm³. The spin magnetization comes out at 0.00 μB per cell. The symmetry is Pm-3m (221). The calculation puts the total energy at -3.7709 eV/atom.

---

[8]
Material: Mg4TlHg5
Method: DFT, PBE
State: relaxed

```
data_Mg4TlHg5
_symmetry_space_group_name_H-M 'P 1'
_symmetry_Int_Tables_number 1
_cell_length_a 3.490
_cell_length_b 3.490
_cell_length_c 18.852
_cell_angle_alpha 90.00
_cell_angle_beta 90.00
_cell_angle_gamma 90.00
loop_
_symmetry_equiv_pos_as_xyz
'x,y,z'
loop_
_atom_site_label
_atom_site_fract_x
_atom_site_fract_y
_atom_site_fract_z
Mg1 0.000 0.000 0.591
Hg1 0.500 0.500 0.315
Hg2 0.500 0.500 0.128
Hg3 0.500 0.500 0.500
Mg2 0.000 0.000 0.409
Mg3 0.000 0.000 0.221
Hg4 0.500 0.500 0.685
Mg4 0.000 0.000 0.779
Hg5 0.500 0.500 0.872
Tl1 0.000 0.000 0.000
```

Results
The calculation puts the mass density at 9.4 g/cm³. The spin magnetization comes out at 0.00 μB per cell. The symmetry is P4/mmm (123). The calculation puts the total energy at -1.1886 eV/atom.

---

[9]
Material: LiScReMo
Method: DFT, PBE
State: relaxed

```
data_LiScReMo
_symmetry_space_group_name_H-M 'P 1'
_symmetry_Int_Tables_number 1
_cell_length_a 4.474
_cell_length_b 4.474
_cell_length_c 4.474
_cell_angle_alpha 60.00
_cell_angle_beta 60.00
_cell_angle_gamma 60.00
loop_
_symmetry_equiv_pos_as_xyz
'x,y,z'
loop_
_atom_site_label
_atom_site_fract_x
_atom_site_fract_y
_atom_site_fract_z
Sc1 0.250 0.250 0.250
Re1 0.500 0.500 0.500
Mo1 0.750 0.750 0.750
Li1 0.000 0.000 0.000
```

Results
The calculation puts the mass density at 8.8 g/cm³. The spin magnetization comes out at 0.00 μB per cell. The symmetry is F-43m (216). The calculation puts the total energy at -7.8493 eV/atom.

---

[10]
Material: Li4HoU3Se8
Method: DFT, PBE
State: relaxed

```
data_Li4HoU3Se8
_symmetry_space_group_name_H-M 'P 1'
_symmetry_Int_Tables_number 1
_cell_length_a 8.064
_cell_length_b 8.068
_cell_length_c 8.065
_cell_angle_alpha 119.99
_cell_angle_beta 120.00
_cell_angle_gamma 90.00
loop_
_symmetry_equiv_pos_as_xyz
'x,y,z'
loop_
_atom_site_label
_atom_site_fract_x
_atom_site_fract_y
_atom_site_fract_z
U1 0.000 0.500 0.500
Se1 0.251 0.758 0.007
Li1 0.000 0.000 0.000
Se2 0.754 0.761 0.507
Se3 0.749 0.242 0.497
Se4 0.251 0.758 0.503
Li2 0.500 0.000 0.000
Se5 0.749 0.242 0.993
Se6 0.246 0.239 0.493
U2 0.500 0.500 0.500
Ho1 0.000 0.500 0.000
U3 0.500 0.500 0.000
Li3 0.000 0.000 0.500
Se7 0.756 0.758 0.007
Li4 0.500 0.000 0.500
Se8 0.244 0.242 0.993
```

Results
The calculation puts the mass density at 6.9 g/cm³. The spin magnetization comes out at 9.00 μB per cell. The symmetry is R-3m (166). The calculation puts the total energy at -5.9203 eV/atom.

---

[11]
Material: PmNd4Sn15
Method: DFT, PBE
State: relaxed

```
data_PmNd4Sn15
_symmetry_space_group_name_H-M 'P 1'
_symmetry_Int_Tables_number 1
_cell_length_a 4.704
_cell_length_b 4.704
_cell_length_c 24.599
_cell_angle_alpha 90.00
_cell_angle_beta 90.00
_cell_angle_gamma 90.00
loop_
_symmetry_equiv_pos_as_xyz
'x,y,z'
loop_
_atom_site_label
_atom_site_fract_x
_atom_site_fract_y
_atom_site_fract_z
Sn1 0.500 0.500 0.000
Sn2 0.500 0.500 0.800
Sn3 0.000 0.500 0.700
Nd1 0.000 0.000 0.200
Sn4 0.500 0.000 0.300
Sn5 0.500 0.500 0.600
Sn6 0.000 0.500 0.099
Sn7 0.000 0.500 0.901
Sn8 0.500 0.500 0.400
Sn9 0.500 0.000 0.700
Sn10 0.000 0.500 0.300
Nd2 0.000 0.000 0.800
Sn11 0.500 0.000 0.099
Sn12 0.500 0.500 0.200
Sn13 0.500 0.000 0.500
Sn14 0.500 0.000 0.901
Pm1 0.000 0.000 0.000
Nd3 0.000 0.000 0.400
Sn15 0.000 0.500 0.500
Nd4 0.000 0.000 0.600
```

Results
The calculation puts the mass density at 7.6 g/cm³. The spin magnetization comes out at 0.00 μB per cell. The symmetry is P4/mmm (123). The calculation puts the total energy at -4.6861 eV/atom.